(1)
A plane-wave DFT calculation with PBE was carried out for crystalline CaSc3Sb at its relaxed geometry.

## Properties
Relative energy among the computed polymorphs = 903 meV per atom

abc: 5.1603 5.1603 5.1603
angles: 90.00 90.00 90.00
Atoms (fractional coordinates):
Ca  0.0000  0.0000  0.0000
Sc  0.0000  0.0000  0.5000
Sc  0.0000  0.5000  0.0000
Sc  0.5000  0.0000  0.0000
Sb  0.5000  0.5000  0.5000

(2)
A plane-wave DFT calculation with PBE was carried out for crystalline CaMgSe2 at its relaxed geometry.

abc: 7.0199 7.0199 7.0199
angles: 33.62 33.62 33.62
Atoms (fractional coordinates):
Ca  0.0000  0.0000  0.0000
Mg  0.5000  0.5000  0.5000
Se  0.2432  0.2432  0.2432
Se  0.7568  0.7568  0.7568

no.,V (Å³/cell),calculated total energy (eV/atom)
1,137.4,-4.063
2,94.5,-4.258